No. 1
Compound: CdFe2Ni
Source: the Alexandria database
Functional: PBE
Structure: optimized geometry

Results
- DFT total energy: -5.6355 eV/atom

Cell: 4.977 4.977 4.977 Å, 145.12 127.66 64.45°
Element x y z (fractional)
Cd1 0.000 0.000 0.000
Fe1 0.502 0.502 0.000
Fe2 0.728 0.228 0.500
Ni1 0.265 0.765 0.500

---

No. 2
Compound: HgPdCl2
Source: the Alexandria database
Functional: PBE
Structure: optimized geometry

Results
- Formation energy from raw total energies: -4.95 kcal/mol of atoms
- DFT total energy: -2.5118 eV/atom

Cell: 10.194 10.194 10.194 Å, 20.94 20.94 20.94°
Element x y z (fractional)
Hg1 0.000 0.000 0.000
Pd1 0.500 0.500 0.500
Cl1 0.120 0.120 0.120
Cl2 0.880 0.880 0.880

---

No. 3
Compound: TaSiPt3
Source: the Alexandria database
Functional: PBE
Structure: optimized geometry

Results
- Formation energy from raw total energies: 24.30 kcal/mol of atoms
- DFT total energy: -6.0257 eV/atom

Cell: 4.880 4.880 4.880 Å, 90.00 90.00 90.00°
Element x y z (fractional)
Ta1 0.000 0.000 0.000
Si1 0.500 0.500 0.500
Pt1 0.000 0.000 0.500
Pt2 0.000 0.500 0.000
Pt3 0.500 0.000 0.000